MnNb2AgAs: relaxed, PBE. Values from VASP.

Geometry as Quantum ESPRESSO input:
```
&SYSTEM
  ibrav = 0, nat = 5, ntyp = 4
/
ATOMIC_SPECIES
Mn 54.94 Mn.upf
Nb 92.91 Nb.upf
Ag 107.87 Ag.upf
As 74.92 As.upf
CELL_PARAMETERS angstrom
5.016 0.000 0.000
0.000 5.016 0.000
0.000 0.000 4.508
ATOMIC_POSITIONS crystal
Mn 0.000 0.000 0.000
Nb 0.000 0.500 0.500
Nb 0.500 0.000 0.500
Ag 0.500 0.500 0.500
As 0.500 0.500 0.000
```

Results
Formation energy (eV/atom): 2.125
E (eV per cell): -26.19

---

TaIrO2F: relaxed, PBE. Values from VASP.

Geometry as Quantum ESPRESSO input:
```
&SYSTEM
  ibrav = 0, nat = 5, ntyp = 4
/
ATOMIC_SPECIES
Ta 180.95 Ta.upf
Ir 192.22 Ir.upf
O 16.00 O.upf
F 19.00 F.upf
CELL_PARAMETERS angstrom
3.960 0.000 0.000
0.000 3.960 0.000
0.000 0.000 4.242
ATOMIC_POSITIONS crystal
Ta 0.000 0.000 0.000
Ir 0.500 0.500 0.500
O 0.000 0.500 0.500
O 0.500 0.000 0.500
F 0.500 0.500 0.000
```

Results
E (eV per cell): -31.18
Formation energy without anion corrections (eV per atom): 0.265

---

Q: Look up the E of the first one.
A: -26.19 eV per cell

---

Q: What is the formula in the first record?
A: MnNb2AgAs

---

Q: E of number 1 (MnNb2AgAs)?
A: -26.19 eV per cell

---

Q: Which formula does entry 2 have?
A: TaIrO2F